# 1
HoGa2Pt: relaxed, PBE.

a = 8.1160 Å, b = 6.7956 Å, c = 5.4977 Å
α = 90.00°, β = 90.00°, γ = 90.00°
Atoms (fractional coordinates):
Ho 0.0424 0.2500 0.1260
Ho 0.4576 0.7500 0.6260
Ho 0.5424 0.2500 0.3740
Ho 0.9576 0.7500 0.8740
Ga 0.1862 0.0520 0.6213
Ga 0.1862 0.4480 0.6213
Ga 0.3138 0.5520 0.1213
Ga 0.3138 0.9480 0.1213
Ga 0.6862 0.0520 0.8787
Ga 0.6862 0.4480 0.8787
Ga 0.8138 0.5520 0.3787
Ga 0.8138 0.9480 0.3787
Pt 0.0904 0.7500 0.3671
Pt 0.4096 0.2500 0.8671
Pt 0.5904 0.7500 0.1329
Pt 0.9096 0.2500 0.6329

Values from the calculation:
D(E_F) = 7.8 states/eV per cell
energy = -0.368 Ry per atom

---

# 2
Cs2KBiF8: relaxed, PBE.

a = 7.5376 Å, b = 7.5376 Å, c = 7.5376 Å
α = 129.09°, β = 129.09°, γ = 74.86°
Atoms (fractional coordinates):
Cs 0.0000 0.0000 0.0000
Cs 0.7500 0.2500 0.5000
K 0.5000 0.5000 0.0000
Bi 0.2500 0.7500 0.5000
F 0.1639 0.0533 0.5065
F 0.1639 0.6575 0.1107
F 0.3425 0.4532 0.5065
F 0.3425 0.8361 0.8893
F 0.5468 0.0533 0.8893
F 0.5468 0.6575 0.4935
F 0.9467 0.4532 0.1107
F 0.9467 0.8361 0.4935

Values from the calculation:
E_form (uncorrected) = -2.375 eV/atom

---

# 3
ScCo2BRu: relaxed, PBE.

a = 3.8804 Å, b = 3.8804 Å, c = 4.1017 Å
α = 90.00°, β = 90.00°, γ = 90.00°
Atoms (fractional coordinates):
Sc 0.0000 0.0000 0.0000
Co 0.0000 0.5000 0.5000
Co 0.5000 0.0000 0.5000
B 0.5000 0.5000 0.5000
Ru 0.5000 0.5000 0.0000

Values from the calculation:
D(E_F) = 3.4 states/eV per cell
energy = -0.564 Ry per atom

---

# 4
Th4Zn2Ag5: relaxed, PBE.

a = 7.6244 Å, b = 3.5344 Å, c = 9.8145 Å
α = 90.00°, β = 94.09°, γ = 90.00°
Atoms (fractional coordinates):
Th 0.1777 0.0000 0.3768
Th 0.2642 0.0000 0.9367
Th 0.7358 0.0000 0.0633
Th 0.8223 0.0000 0.6232
Zn 0.0620 0.5000 0.1322
Zn 0.9380 0.5000 0.8678
Ag 0.1897 0.5000 0.6597
Ag 0.4356 0.5000 0.2002
Ag 0.5000 0.5000 0.5000
Ag 0.5644 0.5000 0.7998
Ag 0.8103 0.5000 0.3403

Values from the calculation:
D(E_F) = 9.2 states/eV per cell
energy = -0.315 Ry per atom

---

# 5
GdHoMg2: relaxed, PBE.

a = 5.3724 Å, b = 5.3724 Å, c = 3.7976 Å
α = 90.00°, β = 90.00°, γ = 90.00°
Atoms (fractional coordinates):
Gd 0.0000 0.0000 0.0000
Ho 0.5000 0.5000 0.0000
Mg 0.0000 0.5000 0.5000
Mg 0.5000 0.0000 0.5000

Values from the calculation:
D(E_F) = 4.0 states/eV per cell
energy = -0.408 Ry per atom

---

Values for total magnetic moment, μB per formula unit, ordered as above
0.00, 0.00, 0.00, 0.00, 8.02